4
Lattice="5.758 -0.086 -0.017 -1.210 5.630 -0.017 0.070 0.085 3.311" Properties=species:S:1:pos:R:3 comment="CdAsPb2 (PBE-GGA, relaxed)" dos_ef_per_ev_fu=1.37 spacegroup="No. 12" magnetic_moment_mub_per_cell=0.00 de_polymorph_ev_per_atom=0.0708 pbc="T T T"
As 2.914 0.000 1.647
Pb 2.274 2.772 -0.017
Pb 0.000 0.000 0.000
Cd -0.570 2.858 1.647